# LaMoIN2

A PBEsol-optimized structure of LaMoIN2 (SCAN, Alexandria).

Calculated volume = 23.45 Å³ per atom
DOS(E_F) = 1.7 states/eV per cell
Total DFT energy (no corrections) = -25.588 eV per atom

Unit cell a=4.2398 b=4.2398 c=6.5218 alpha=90.00 beta=90.00 gamma=90.00
With the nearest neighbours (Å) after each atom.
Sites, in units of the cell vectors:
La1 0.0000 0.0000 0.0000  4 N 2.12
Mo1 0.5000 0.5000 0.5000  4 I 3.00
I1 0.0000 0.0000 0.5000  4 Mo 3.00, 2 La 3.26
N1 0.0000 0.5000 0.0000  2 La 2.12
N2 0.5000 0.0000 0.0000  2 La 2.12

# CaMgWS2

A PBEsol-optimized structure of CaMgWS2 (SCAN, Alexandria).

Calculated volume = 23.02 Å³ per atom
DOS(E_F) = 3.0 states/eV per cell
Total DFT energy (no corrections) = -20.088 eV per atom

Unit cell a=4.8242 b=4.8242 c=4.9455 alpha=90.00 beta=90.00 gamma=90.00
With the nearest neighbours (Å) after each atom.
Sites, in units of the cell vectors:
Ca1 0.0000 0.0000 0.0000  4 W 3.41, 8 S 3.45
Mg1 0.5000 0.5000 0.5000  4 S 2.41, 2 W 2.47
W1 0.5000 0.5000 0.0000  2 Mg 2.47
S1 0.0000 0.5000 0.5000  2 Mg 2.41
S2 0.5000 0.0000 0.5000  2 Mg 2.41

# BeAsW3

A PBEsol-optimized structure of BeAsW3 (SCAN, Alexandria).

Calculated volume = 14.94 Å³ per atom
DOS(E_F) = 2.5 states/eV per cell
Total DFT energy (no corrections) = -45.534 eV per atom

Unit cell a=4.2118 b=4.2118 c=4.2118 alpha=90.00 beta=90.00 gamma=90.00
With the nearest neighbours (Å) after each atom.
Sites, in units of the cell vectors:
Be1 0.0000 0.0000 0.0000  6 W 2.11
As1 0.5000 0.5000 0.5000  12 W 2.98
W1 0.0000 0.0000 0.5000  2 Be 2.11
W2 0.0000 0.5000 0.0000  2 Be 2.11
W3 0.5000 0.0000 0.0000  2 Be 2.11

# Be3Ru

A PBEsol-optimized structure of Be3Ru (SCAN, Alexandria).

Calculated volume = 9.07 Å³ per atom
DOS(E_F) = 0.6 states/eV per cell
Total DFT energy (no corrections) = -12.435 eV per atom

Unit cell a=3.6728 b=4.5148 c=4.3771 alpha=90.00 beta=90.00 gamma=90.00
With the nearest neighbours (Å) after each atom.
Sites, in units of the cell vectors:
Be1 0.2500 0.0044 0.1431  7 Be 2.22-2.30, 3 Ru 2.38-2.39
Be2 0.2500 0.4956 0.1431  7 Be 2.22-2.30, 3 Ru 2.38-2.39
Be3 0.2500 0.7500 0.7002  6 Be 2.25, 4 Ru 2.28-2.32
Be4 0.7500 0.2500 0.2998  6 Be 2.25, 4 Ru 2.28-2.32
Be5 0.7500 0.5044 0.8569  7 Be 2.22-2.30, 3 Ru 2.38-2.39
Be6 0.7500 0.9956 0.8569  7 Be 2.22-2.30, 3 Ru 2.38-2.39
Ru1 0.2500 0.2500 0.6238  12 Be 2.28-2.53
Ru2 0.7500 0.7500 0.3762  12 Be 2.28-2.53